# 1
Material: YEr4Cd
Method: DFT, PBE-GGA
State: relaxed Values from VASP.

Values from the calculation:
The value obtained for the energy above the most stable polymorph in this dataset is 0 meV/atom. The value obtained for the energy of formation from the pure elements is -0.09 eV/atom. As for the space group: No. 123.

Geometry as Quantum ESPRESSO input:
```
&SYSTEM
  ibrav = 0, nat = 6, ntyp = 3
/
ATOMIC_SPECIES
Y 88.91 Y.upf
Er 167.26 Er.upf
Cd 112.41 Cd.upf
CELL_PARAMETERS angstrom
-0.181 0.255 3.519
2.863 -2.048 0.295
8.223 11.435 -0.406
ATOMIC_POSITIONS angstrom
Y 0.000 0.000 0.000
Er 2.806 1.140 1.835
Er 5.321 7.400 -0.263
Er 2.901 4.035 -0.143
Er 8.099 8.501 1.573
Cd 5.452 4.821 1.704
```



# 2
Material: TbInCuAu
Method: DFT, PBE-GGA
State: relaxed Values from VASP.

Values from the calculation:
The value obtained for the energy of formation from the pure elements is -0.51 eV/atom. As for the space group: No. 216.

Geometry as Quantum ESPRESSO input:
```
&SYSTEM
  ibrav = 0, nat = 4, ntyp = 4
/
ATOMIC_SPECIES
Tb 158.93 Tb.upf
Au 196.97 Au.upf
Cu 63.55 Cu.upf
In 114.82 In.upf
CELL_PARAMETERS angstrom
-2.322 4.198 0.725
-3.070 1.686 -3.358
-4.774 0.013 0.866
ATOMIC_POSITIONS angstrom
Tb 0.000 0.000 0.000
Au -7.625 4.422 -1.325
Cu -2.542 1.474 -0.442
In -5.083 2.948 -0.883
```



# 3
Material: Zr2AgPd
Method: DFT, PBE-GGA
State: relaxed Values from VASP.

Values from the calculation:
The value obtained for the energy above the most stable polymorph in this dataset is 24 meV/atom. The value obtained for the energy of formation from the pure elements is -0.25 eV/atom. As for the space group: No. 225.

Geometry as Quantum ESPRESSO input:
```
&SYSTEM
  ibrav = 0, nat = 4, ntyp = 3
/
ATOMIC_SPECIES
Zr 91.22 Zr.upf
Pd 106.42 Pd.upf
Ag 107.87 Ag.upf
CELL_PARAMETERS angstrom
-1.289 -2.808 3.683
-3.555 -3.191 -0.539
0.988 -4.704 -0.103
ATOMIC_POSITIONS angstrom
Zr -0.964 -2.676 0.760
Zr -2.892 -8.027 2.281
Pd 0.000 0.000 0.000
Ag -1.928 -5.351 1.521
```



# 4
Material: NbBiSe2
Method: DFT, PBE-GGA
State: relaxed Values from VASP.

Values from the calculation:
The uncorrected formation energy is -0.5029 eV/atom. As for the space group: No. 160.

Geometry as Quantum ESPRESSO input:
```
&SYSTEM
  ibrav = 0, nat = 4, ntyp = 3
/
ATOMIC_SPECIES
Nb 92.91 Nb.upf
Bi 208.98 Bi.upf
Se 78.96 Se.upf
CELL_PARAMETERS angstrom
-1.036 -3.017 -1.257
1.183 -2.919 1.355
-7.118 -2.056 6.123
ATOMIC_POSITIONS angstrom
Nb -6.986 -6.013 6.160
Bi -3.607 -3.997 3.215
Se -5.753 -2.041 4.963
Se -1.227 -1.992 1.117
```



# 5
Material: BeGeB
Method: DFT, PBE-GGA
State: relaxed Values from VASP.

Values from the calculation:
The value obtained for the energy above the most stable polymorph in this dataset is 590 meV/atom. The value obtained for the energy of formation from the pure elements is 0.74 eV/atom. As for the space group: No. 216.

Geometry as Quantum ESPRESSO input:
```
&SYSTEM
  ibrav = 0, nat = 3, ntyp = 3
/
ATOMIC_SPECIES
Be 9.01 Be.upf
Ge 72.64 Ge.upf
B 10.81 B.upf
CELL_PARAMETERS angstrom
3.632 0.000 0.000
1.816 3.146 0.000
1.816 1.049 2.966
ATOMIC_POSITIONS angstrom
Be 5.448 3.146 2.224
Ge 0.000 0.000 0.000
B 3.632 2.097 1.483
```



# 6
Material: LiSm3Zn2
Method: DFT, PBE-GGA
State: relaxed Values from VASP.

Values from the calculation:
The value obtained for the energy of formation from the pure elements is -0.19 eV/atom. As for the space group: No. 164.

Geometry as Quantum ESPRESSO input:
```
&SYSTEM
  ibrav = 0, nat = 12, ntyp = 3
/
ATOMIC_SPECIES
Li 6.94 Li.upf
Sm 150.36 Sm.upf
Zn 65.41 Zn.upf
CELL_PARAMETERS angstrom
-1.141 1.049 4.946
-0.560 -4.820 -1.823
11.985 -2.650 3.328
ATOMIC_POSITIONS angstrom
Li 7.277 -4.639 2.663
Li 3.007 -1.782 3.788
Sm 4.252 -3.970 1.823
Sm -0.008 -1.115 2.951
Sm 9.050 -2.001 2.513
Sm 2.935 -0.649 0.815
Sm 10.292 -5.306 3.500
Sm 6.033 -2.451 4.628
Zn 5.993 -1.325 1.664
Zn 1.317 -3.321 1.008
Zn 8.967 -3.100 5.443
Zn 0.000 0.000 0.000
```



# 7
Material: Ni15SnSb4
Method: DFT, PBE-GGA
State: relaxed Values from VASP.

Values from the calculation:
The uncorrected formation energy is -0.1521 eV/atom. As for the space group: No. 123.

Geometry as Quantum ESPRESSO input:
```
&SYSTEM
  ibrav = 0, nat = 20, ntyp = 3
/
ATOMIC_SPECIES
Ni 58.69 Ni.upf
Sn 118.71 Sn.upf
Sb 121.76 Sb.upf
CELL_PARAMETERS angstrom
-3.280 -1.749 0.371
1.760 -3.022 1.315
-1.571 6.624 17.329
ATOMIC_POSITIONS angstrom
Ni -0.760 -2.385 0.843
Ni -1.076 -1.055 4.324
Ni -1.389 0.264 7.773
Ni -1.703 1.590 11.241
Ni -2.016 2.909 14.691
Ni -1.798 -0.207 1.932
Ni -2.111 1.113 5.385
Ni -2.426 2.438 8.850
Ni -2.740 3.762 12.315
Ni -3.053 5.082 15.768
Ni 0.721 -0.843 2.403
Ni 0.408 0.477 5.856
Ni 0.094 1.801 9.322
Ni -0.220 3.126 12.787
Ni -0.533 4.446 16.240
Sn 0.000 0.000 0.000
Sb -0.314 1.322 3.458
Sb -0.628 2.649 6.931
Sb -0.943 3.975 10.398
Sb -1.258 5.302 13.871
```



# 8
Material: La7Hg2Os2
Method: DFT, PBE-GGA
State: relaxed Values from VASP.

Values from the calculation:
The value obtained for the energy of formation from the pure elements is -0.22 eV/atom. As for the space group: No. 65.

Geometry as Quantum ESPRESSO input:
```
&SYSTEM
  ibrav = 0, nat = 11, ntyp = 3
/
ATOMIC_SPECIES
La 138.91 La.upf
Hg 200.59 Hg.upf
Os 190.23 Os.upf
CELL_PARAMETERS angstrom
7.061 -0.003 -0.874
0.003 7.346 0.003
-1.312 -0.002 6.993
ATOMIC_POSITIONS angstrom
La -0.655 1.844 3.497
La 3.533 5.500 -0.435
La 6.407 5.497 2.625
La 2.219 1.841 6.556
La 0.000 0.000 0.000
La 2.877 5.572 3.062
La 2.875 1.769 3.060
Hg 4.750 3.669 5.056
Hg 1.002 3.672 1.066
Os 4.605 7.344 1.439
Os 1.146 -0.003 4.683
```



# 9
Material: Sr3SeF
Method: DFT, PBE-GGA
State: relaxed Values from VASP.

Values from the calculation:
The uncorrected formation energy is -1.2459 eV/atom. The value obtained for the energy above the most stable polymorph in this dataset is 0 meV/atom. As for the space group: No. 221.

Geometry as Quantum ESPRESSO input:
```
&SYSTEM
  ibrav = 0, nat = 5, ntyp = 3
/
ATOMIC_SPECIES
Sr 87.62 Sr.upf
Se 78.96 Se.upf
F 19.00 F.upf
CELL_PARAMETERS angstrom
-3.764 2.344 -2.944
-3.588 -3.492 1.806
-1.136 3.262 4.049
ATOMIC_POSITIONS angstrom
Sr -1.794 -1.746 0.903
Sr -0.568 1.631 2.025
Sr -1.882 1.172 -1.472
Se -4.244 1.057 1.456
F 0.000 0.000 0.000
```



# 10
Material: Sm2ZnGa2Rh5
Method: DFT, PBE-GGA
State: relaxed Values from VASP.

Values from the calculation:
The value obtained for the energy of formation from the pure elements is -0.68 eV/atom. As for the space group: No. 127.

Geometry as Quantum ESPRESSO input:
```
&SYSTEM
  ibrav = 0, nat = 20, ntyp = 4
/
ATOMIC_SPECIES
Sm 150.36 Sm.upf
Zn 65.41 Zn.upf
Ga 69.72 Ga.upf
Rh 102.91 Rh.upf
CELL_PARAMETERS angstrom
-2.103 -2.811 -0.397
4.153 -4.223 7.902
-6.762 4.237 5.818
ATOMIC_POSITIONS angstrom
Sm 1.622 -2.109 6.341
Sm -4.231 2.123 7.379
Sm -1.480 0.645 3.272
Sm -1.130 -0.631 10.448
Zn 0.000 0.000 0.000
Zn -1.305 0.007 6.860
Ga -3.708 2.120 4.627
Ga 1.099 -2.106 9.093
Ga -3.319 1.066 10.030
Ga 0.709 -1.052 3.690
Rh -0.650 -1.985 1.780
Rh -4.062 -0.812 11.543
Rh -6.174 1.699 4.955
Rh -1.075 -2.529 7.884
Rh 1.462 -4.496 8.368
Rh -3.637 -0.268 5.440
Rh -3.455 -0.815 8.354
Rh -1.257 -1.982 4.969
Rh 1.025 -3.517 3.753
Rh -4.433 0.713 2.711
```



Number 1: total energy -4.358 eV/atom. Number 2: total energy -4.195 eV/atom. Number 3: total energy -6.536 eV/atom. Number 4: total energy -5.733 eV/atom. Number 5: total energy -4.268 eV/atom. Number 6: total energy -3.296 eV/atom. Number 7: total energy -5.513 eV/atom. Number 8: total energy -5.454 eV/atom. Number 9: total energy -3.326 eV/atom. Number 10: total energy -6.029 eV/atom.